(1)
Computed, not measured: a PBEsol-optimized structure of TcMoRh3 at the SCAN level of DFT.

- raw total energy (eV per atom) = -32.80

POSCAR file:
```
TcMoRh3
1.0
4.547 0.000 0.000
0.000 4.547 0.000
0.000 0.000 4.547
Mo Rh Tc
1 3 1
Cartesian
0.000 0.000 0.000
0.000 2.273 0.000
0.000 0.000 2.273
2.273 0.000 0.000
2.273 2.273 2.273
```

(2)
Computed, not measured: a PBEsol-optimized structure of GaReOF2 at the SCAN level of DFT.

- formation energy (no corrections) (eV per atom) = -0.470

POSCAR file:
```
GaReOF2
1.0
3.528 0.000 0.000
0.000 4.275 0.000
0.000 0.000 4.275
Re O Ga F
1 1 1 2
Cartesian
1.764 2.138 2.138
1.764 0.000 0.000
0.000 0.000 0.000
0.000 0.000 2.138
0.000 2.138 0.000
```